Entry 1:
A plane-wave DFT calculation with PBE was carried out for an optimized crystal structure of HfBS3.

Properties
The value obtained for the spin magnetization is 0.00 μB/atom. Its density of states at the Fermi level is 0.264 states/eV/atom. The calculation puts the energy above the most stable polymorph in this dataset at 0.0000 eV per atom. The calculation puts the formation energy (no corrections) at 0.026 eV per atom. The calculated total energy is -5.7766 eV per atom.

Cell: 4.1928 4.1928 4.1928 Å, 90.00 90.00 90.00°
Last column: nearest neighbours and their distance in Å.
Space group Pm-3m (No. 221)
Asymmetric unit:
Hf1 0.0000 0.0000 0.0000 (multiplicity 1)  12 S 2.96
B1 0.5000 0.5000 0.5000 (multiplicity 1)  6 S 2.10
S1 0.0000 0.5000 0.5000 (multiplicity 3)  2 B 2.10



Entry 2:
A plane-wave DFT calculation with PBE was carried out for an optimized crystal structure of CaAlAu.

Properties
The value obtained for the spin magnetization is 0.00 μB/atom. Its density of states at the Fermi level is 1.040 states/eV/atom. The calculated total energy is -2.8884 eV per atom.

Cell: 6.8829 6.8829 6.8829 Å, 90.00 90.00 90.00°
Last column: nearest neighbours and their distance in Å.
Space group F-43m (No. 216)
Asymmetric unit:
Ca1 0.0000 0.0000 0.0000 (multiplicity 4)  4 Au 2.98, 4 Al 2.98
Al1 0.2500 0.2500 0.7500 (multiplicity 4)  4 Ca 2.98
Au1 0.2500 0.2500 0.2500 (multiplicity 4)  4 Ca 2.98



Entry 3:
A plane-wave DFT calculation with PBE was carried out for an optimized crystal structure of FeCo5Ir.

Properties
The value obtained for the spin magnetization is 1.66 μB/atom. Its density of states at the Fermi level is 1.066 states/eV/atom. The calculated total energy is -7.4243 eV per atom.

Cell: 5.7907 6.9182 8.6819 Å, 90.00 106.39 90.00°
Last column: nearest neighbours and their distance in Å.
Space group C2/c (No. 15)
Asymmetric unit:
Fe1 0.2500 0.2500 0.0000 (multiplicity 4)  8 Co 2.36-2.62
Co1 0.0000 0.1425 0.7500 (multiplicity 4)  6 Co 2.34-2.57, 2 Fe 2.36, 1 Ir 2.50
Co2 0.1005 0.4592 0.6459 (multiplicity 8)  6 Co 2.38-2.57, 2 Fe 2.52-2.65, 2 Ir 2.53-2.55
Co3 0.1781 0.0998 0.5422 (multiplicity 8)  5 Co 2.34-2.55, 1 Fe 2.50, 2 Ir 2.53-2.59
Ir1 0.0000 0.2193 0.2500 (multiplicity 4)  9 Co 2.50-2.59



Entry 4:
A plane-wave DFT calculation with PBE was carried out for an optimized crystal structure of TaAl2TlBr.

Properties
The value obtained for the spin magnetization is 0.70 μB/atom. Its density of states at the Fermi level is 0.783 states/eV/atom. The calculation puts the formation energy (no corrections) at 1.572 eV per atom. The calculated total energy is -3.1034 eV per atom.

Cell: 5.2004 5.2004 5.6691 Å, 90.00 90.00 90.00°
Last column: nearest neighbours and their distance in Å.
Space group P4/mmm (No. 123)
Asymmetric unit:
Ta1 0.0000 0.0000 0.0000 (multiplicity 1)  4 Br 3.68, 8 Al 3.85
Al1 0.0000 0.5000 0.5000 (multiplicity 2)  2 Tl 2.60
Tl1 0.5000 0.5000 0.5000 (multiplicity 1)  4 Al 2.60, 2 Br 2.83
Br1 0.5000 0.5000 0.0000 (multiplicity 1)  2 Tl 2.83



Entry 5:
A plane-wave DFT calculation with PBE was carried out for an optimized crystal structure of PuRh4.

Properties
The value obtained for the spin magnetization is 0.37 μB/atom. Its density of states at the Fermi level is 2.195 states/eV/atom. The calculated total energy is -7.6148 eV per atom.

Cell: 4.7384 4.7384 4.7384 Å, 90.00 90.00 90.00°
Last column: nearest neighbours and their distance in Å.
Space group Pm-3m (No. 221)
Asymmetric unit:
Pu1 0.0000 0.0000 0.0000 (multiplicity 1)  6 Rh 2.37
Rh1 0.0000 0.0000 0.5000 (multiplicity 3)  2 Pu 2.37
Rh2 0.5000 0.5000 0.5000 (multiplicity 1)  12 Rh 3.35



Entry 6:
A plane-wave DFT calculation with PBE was carried out for an optimized crystal structure of Be2RuPt2.

Properties
The value obtained for the spin magnetization is 0.00 μB/atom. Its density of states at the Fermi level is 0.603 states/eV/atom. The calculation puts the energy above the most stable polymorph in this dataset at 0.0000 eV per atom. The calculated total energy is -6.1985 eV per atom.

Cell: 6.6973 6.6973 2.7214 Å, 90.00 90.00 90.00°
Last column: nearest neighbours and their distance in Å.
Space group P4/mbm (No. 127)
Asymmetric unit:
Be1 0.1322 0.3678 0.0000 (multiplicity 4)  6 Pt 2.35-2.42, 1 Be 2.50, 2 Ru 2.62
Ru1 0.0000 0.0000 0.0000 (multiplicity 2)  4 Be 2.62, 2 Ru 2.72, 8 Pt 2.85
Pt1 0.1651 0.6651 0.5000 (multiplicity 4)  6 Be 2.35-2.42



Entry 7:
A plane-wave DFT calculation with PBE was carried out for an optimized crystal structure of Sm2Ho3Al.

Properties
The value obtained for the spin magnetization is 0.00 μB/atom. Its density of states at the Fermi level is 1.165 states/eV/atom. The calculated total energy is -4.5708 eV per atom.

Cell: 4.8100 14.9424 4.8449 Å, 90.00 90.00 90.00°
Last column: nearest neighbours and their distance in Å.
Space group Cmmm (No. 65)
Asymmetric unit:
Sm1 0.0000 0.1593 0.0000 (multiplicity 4)  2 Al 3.38, 8 Ho 3.40-3.60, 2 Sm 3.62
Ho1 0.0000 0.0000 0.5000 (multiplicity 2)  4 Sm 3.40, 4 Al 3.41, 4 Ho 3.42
Ho2 0.0000 0.3377 0.5000 (multiplicity 4)  6 Sm 3.41-3.60, 4 Ho 3.42-3.56, 2 Al 3.43
Al1 0.0000 0.5000 0.0000 (multiplicity 2)  4 Sm 3.38, 8 Ho 3.41-3.43



Entry 8:
A plane-wave DFT calculation with PBE was carried out for an optimized crystal structure of Nd2Zr2Se7.

Properties
The value obtained for the spin magnetization is 0.00 μB/atom. Its density of states at the Fermi level is 0.157 states/eV/atom. The calculation puts the formation energy (no corrections) at -1.490 eV per atom. The calculated total energy is -6.1289 eV per atom.

Cell: 4.0201 14.5817 9.0112 Å, 90.00 90.00 90.00°
Last column: nearest neighbours and their distance in Å.
Space group Imm2 (No. 44)
Asymmetric unit:
Nd1 0.0000 0.2256 0.0000 (multiplicity 4)  5 Se 2.85-3.13
Zr1 0.0000 0.0000 0.2608 (multiplicity 2)  7 Se 2.77-3.06
Zr2 0.0000 0.5000 0.1949 (multiplicity 2)  8 Se 2.74-2.96
Se1 0.0000 0.0000 0.9215 (multiplicity 2)  3 Zr 2.87-3.06
Se2 0.0000 0.1028 0.5207 (multiplicity 4)  3 Zr 2.78-2.96, 1 Se 3.00
Se3 0.0000 0.3215 0.2886 (multiplicity 4)  1 Zr 2.74, 3 Nd 2.85-2.95
Se4 0.0000 0.3729 0.7126 (multiplicity 4)  2 Zr 2.77



Look up the calculated total energy of the eighth one.
-6.1289 eV per atom



Look up the spin magnetization of the fourth one.
0.70 μB/atom



The lowest calculated total energy belongs to which entry?
PuRh4